No. 1
Y2Zn12Cu3Ni: optimized geometry, PBE.

POSCAR file:
```
Y2Zn12Cu3Ni
1.0
2.8453 1.6427 11.1056
-2.8453 1.6427 11.1056
0.0000 -3.2855 11.1056
Y Zn Cu Ni
2 12 3 1
Direct
0.1407 0.1407 0.1407 Y
0.8593 0.8593 0.8593 Y
0.0994 0.0994 0.6408 Zn
0.0994 0.6408 0.0994 Zn
0.1128 0.6115 0.6115 Zn
0.3592 0.9006 0.9006 Zn
0.3885 0.3885 0.8872 Zn
0.3885 0.8872 0.3885 Zn
0.6115 0.1128 0.6115 Zn
0.6115 0.6115 0.1128 Zn
0.6408 0.0994 0.0994 Zn
0.8872 0.3885 0.3885 Zn
0.9006 0.3592 0.9006 Zn
0.9006 0.9006 0.3592 Zn
0.0000 0.5000 0.5000 Cu
0.5000 0.0000 0.5000 Cu
0.5000 0.5000 0.0000 Cu
0.5000 0.5000 0.5000 Ni
```

Calculated values
Formation energy from the elements (meV per atom): -34.9
Fermi-level density of states (states/eV per atom): 0.6028
Total moment (μB/f.u.): 0.00

---

No. 2
YZn5CuNi2: optimized geometry, PBE.

POSCAR file:
```
YZn5CuNi2
1.0
4.5898 0.0000 0.0000
0.0000 4.5898 0.0000
0.0000 0.0000 6.9461
Y Zn Cu Ni
1 5 1 2
Direct
0.0000 0.0000 0.0000 Y
0.0000 0.5000 0.3003 Zn
0.0000 0.5000 0.6997 Zn
0.5000 0.0000 0.3003 Zn
0.5000 0.0000 0.6997 Zn
0.5000 0.5000 0.0000 Zn
0.0000 0.0000 0.5000 Cu
0.5000 0.5000 0.3345 Ni
0.5000 0.5000 0.6655 Ni
```

Calculated values
Formation energy from the elements (meV per atom): -53.6
Fermi-level density of states (states/eV per atom): 0.5634
Total moment (μB/f.u.): 0.00

---

No. 3
Y2Zn3CuNi12: optimized geometry, PBE.

POSCAR file:
```
Y2Zn3CuNi12
1.0
2.9695 1.7145 8.6703
-2.9695 1.7145 8.6703
0.0000 -3.4289 8.6703
Y Zn Cu Ni
2 3 1 12
Direct
0.1513 0.1513 0.1513 Y
0.8487 0.8487 0.8487 Y
0.0000 0.5000 0.5000 Zn
0.5000 0.0000 0.5000 Zn
0.5000 0.5000 0.0000 Zn
0.5000 0.5000 0.5000 Cu
0.0784 0.0784 0.6876 Ni
0.0784 0.6876 0.0784 Ni
0.1434 0.5747 0.5747 Ni
0.3124 0.9216 0.9216 Ni
0.4253 0.4253 0.8566 Ni
0.4253 0.8566 0.4253 Ni
0.5747 0.1434 0.5747 Ni
0.5747 0.5747 0.1434 Ni
0.6876 0.0784 0.0784 Ni
0.8566 0.4253 0.4253 Ni
0.9216 0.3124 0.9216 Ni
0.9216 0.9216 0.3124 Ni
```

Calculated values
Formation energy from the elements (meV per atom): 125.4
Fermi-level density of states (states/eV per atom): 1.3241
Total moment (μB/f.u.): 0.00